Here is an optimized crystal structure of ScAgPt2 from Alexandria via LeMat-Bulk. Energies are from GGA-PBEsol.

a = 4.525 Å, b = 4.525 Å, c = 4.525 Å
α = 60.00°, β = 60.00°, γ = 60.00°
Positions (direct):
Sc (0.000, 0.000, 0.000)
Ag (0.750, 0.750, 0.750)
Pt (0.250, 0.250, 0.250)
Pt (0.500, 0.500, 0.500)

DFT formation energy   -0.57 eV/atom
Space group   F-43m, No. 216
Density of states at the Fermi level   2.07 states/eV per cell

=====

Here is an optimized crystal structure of Be2Co2Ru from Alexandria via LeMat-Bulk. Energies are from GGA-PBEsol.

a = 6.101 Å, b = 6.101 Å, c = 2.559 Å
α = 90.00°, β = 90.00°, γ = 90.00°
Positions (direct):
Be (0.125, 0.375, 0.000)
Be (0.375, 0.875, 0.000)
Be (0.625, 0.125, 0.000)
Be (0.875, 0.625, 0.000)
Co (0.169, 0.669, 0.500)
Co (0.331, 0.169, 0.500)
Co (0.669, 0.831, 0.500)
Co (0.831, 0.331, 0.500)
Ru (0.000, 0.000, 0.000)
Ru (0.500, 0.500, 0.000)

DFT formation energy   -0.15 eV/atom
Space group   P4/mbm, No. 127
Density of states at the Fermi level   10.79 states/eV per cell
Energy relative to the lowest polymorph listed for this composition   0.000 eV per formula unit

=====

Here is an optimized crystal structure of Li2AgAu from Alexandria via LeMat-Bulk. Energies are from GGA-PBEsol.

a = 4.892 Å, b = 4.892 Å, c = 4.722 Å
α = 98.77°, β = 98.77°, γ = 33.21°
Positions (direct):
Li (0.000, 0.000, 0.000)
Li (0.233, 0.233, 0.694)
Ag (0.488, 0.488, 0.490)
Au (0.740, 0.740, 0.193)

DFT formation energy   -0.33 eV/atom
Space group   Cm, No. 8
Density of states at the Fermi level   1.11 states/eV per cell
Energy relative to the lowest polymorph listed for this composition   0.137 eV per formula unit

=====

Here is an optimized crystal structure of ZrTeRh2 from Alexandria via LeMat-Bulk. Energies are from GGA-PBEsol.

a = 3.475 Å, b = 3.475 Å, c = 5.788 Å
α = 90.00°, β = 90.00°, γ = 90.00°
Positions (direct):
Zr (0.000, 0.000, 0.000)
Te (0.000, 0.000, 0.500)
Rh (0.500, 0.500, 0.240)
Rh (0.500, 0.500, 0.760)

Space group   P4/mmm, No. 123
Density of states at the Fermi level   4.20 states/eV per cell
Energy relative to the elements, uncorrected   -516 meV/atom
Energy relative to the lowest polymorph listed for this composition   0.000 eV per formula unit

=====

Here is an optimized crystal structure of InPd2 from Alexandria via LeMat-Bulk. Energies are from GGA-PBEsol.

a = 5.620 Å, b = 4.167 Å, c = 8.250 Å
α = 90.00°, β = 90.00°, γ = 90.00°
Positions (direct):
In (0.171, 0.250, 0.099)
In (0.329, 0.750, 0.599)
In (0.671, 0.250, 0.401)
In (0.829, 0.750, 0.901)
Pd (0.075, 0.250, 0.767)
Pd (0.153, 0.250, 0.427)
Pd (0.347, 0.750, 0.927)
Pd (0.425, 0.750, 0.267)
Pd (0.575, 0.250, 0.733)
Pd (0.653, 0.250, 0.073)
Pd (0.847, 0.750, 0.573)
Pd (0.925, 0.750, 0.233)

DFT formation energy   -0.53 eV/atom
Space group   Pnma, No. 62
Density of states at the Fermi level   5.89 states/eV per cell

=====

Here is an optimized crystal structure of ZrMoOs from Alexandria via LeMat-Bulk. Energies are from GGA-PBEsol.

a = 4.342 Å, b = 4.342 Å, c = 4.342 Å
α = 60.00°, β = 60.00°, γ = 60.00°
Positions (direct):
Zr (0.000, 0.000, 0.000)
Mo (0.250, 0.250, 0.250)
Os (0.750, 0.750, 0.750)

DFT formation energy   1.19 eV/atom
Space group   F-43m, No. 216
Density of states at the Fermi level   4.11 states/eV per cell
Energy relative to the lowest polymorph listed for this composition   2.678 eV per formula unit

=====

Here is an optimized crystal structure of CaCd2Br from Alexandria via LeMat-Bulk. Energies are from GGA-PBEsol.

a = 5.704 Å, b = 5.704 Å, c = 5.704 Å
α = 131.64°, β = 131.64°, γ = 70.79°
Positions (direct):
Ca (0.000, 0.000, 0.000)
Cd (0.500, 0.500, 0.000)
Cd (0.750, 0.250, 0.500)
Br (0.250, 0.750, 0.500)

Space group   I-4m2, No. 119
Density of states at the Fermi level   2.03 states/eV per cell
Energy relative to the elements, uncorrected   -477 meV/atom
Energy relative to the lowest polymorph listed for this composition   0.097 eV per formula unit

=====

Here is an optimized crystal structure of NaTiI3 from Alexandria via LeMat-Bulk. Energies are from GGA-PBEsol.

a = 5.623 Å, b = 5.623 Å, c = 5.623 Å
α = 90.00°, β = 90.00°, γ = 90.00°
Positions (direct):
Na (0.000, 0.000, 0.000)
Ti (0.500, 0.500, 0.500)
I (0.000, 0.500, 0.500)
I (0.500, 0.000, 0.500)
I (0.500, 0.500, 0.000)

Space group   Pm-3m, No. 221
Density of states at the Fermi level   5.48 states/eV per cell
Energy relative to the elements, uncorrected   -643 meV/atom

=====

Here is an optimized crystal structure of KV4P7O24 from Alexandria via LeMat-Bulk. Energies are from GGA-PBEsol.

a = 10.117 Å, b = 10.196 Å, c = 10.654 Å
α = 108.81°, β = 111.54°, γ = 104.74°
Positions (direct):
K (0.043, 0.246, 0.173)
K (0.957, 0.754, 0.827)
V (0.001, 0.108, 0.754)
V (0.009, 0.663, 0.384)
V (0.486, 0.834, 0.913)
V (0.499, 0.612, 0.428)
V (0.501, 0.388, 0.572)
V (0.514, 0.166, 0.087)
V (0.991, 0.337, 0.616)
V (0.999, 0.892, 0.246)
P (0.234, 0.179, 0.615)
P (0.239, 0.966, 0.741)
P (0.251, 0.545, 0.554)
P (0.253, 0.609, 0.979)
P (0.275, 0.780, 0.278)
P (0.302, 0.058, 0.239)
P (0.311, 0.376, 0.065)
P (0.689, 0.624, 0.935)
P (0.698, 0.942, 0.761)
P (0.725, 0.220, 0.722)
P (0.747, 0.391, 0.021)
P (0.749, 0.455, 0.446)
P (0.761, 0.034, 0.259)
P (0.766, 0.821, 0.385)
O (0.105, 0.506, 0.830)
O (0.122, 0.979, 0.160)
O (0.123, 0.220, 0.676)
O (0.127, 0.998, 0.800)
O (0.134, 0.278, 0.961)
O (0.136, 0.780, 0.304)
O (0.138, 0.414, 0.557)
O (0.140, 0.060, 0.450)
O (0.149, 0.566, 0.421)
O (0.157, 0.823, 0.594)
O (0.193, 0.661, 0.101)
O (0.317, 0.106, 0.715)
O (0.341, 0.440, 0.229)
O (0.345, 0.686, 0.709)
O (0.353, 0.755, 0.992)
O (0.354, 0.066, 0.125)
O (0.354, 0.522, 0.031)
O (0.364, 0.944, 0.298)
O (0.368, 0.318, 0.654)
O (0.369, 0.210, 0.375)
O (0.371, 0.499, 0.509)
O (0.381, 0.975, 0.871)
O (0.388, 0.741, 0.376)
O (0.413, 0.299, 0.036)
O (0.587, 0.701, 0.964)
O (0.612, 0.259, 0.624)
O (0.619, 0.025, 0.129)
O (0.629, 0.501, 0.491)
O (0.631, 0.790, 0.625)
O (0.632, 0.682, 0.346)
O (0.636, 0.056, 0.702)
O (0.646, 0.478, 0.969)
O (0.646, 0.934, 0.875)
O (0.647, 0.245, 0.008)
O (0.655, 0.314, 0.291)
O (0.659, 0.560, 0.771)
O (0.683, 0.894, 0.285)
O (0.807, 0.339, 0.899)
O (0.843, 0.177, 0.406)
O (0.851, 0.434, 0.579)
O (0.860, 0.940, 0.550)
O (0.862, 0.586, 0.443)
O (0.864, 0.220, 0.696)
O (0.866, 0.722, 0.039)
O (0.873, 0.002, 0.200)
O (0.877, 0.780, 0.324)
O (0.878, 0.021, 0.840)
O (0.895, 0.494, 0.170)

Space group   P-1, No. 2
Density of states at the Fermi level   39.11 states/eV per cell
Energy relative to the elements, uncorrected   -2234 meV/atom

=====

Here is an optimized crystal structure of MgRhF3 from Alexandria via LeMat-Bulk. Energies are from GGA-PBEsol.

a = 3.900 Å, b = 3.900 Å, c = 3.900 Å
α = 90.00°, β = 90.00°, γ = 90.00°
Positions (direct):
Mg (0.000, 0.000, 0.000)
Rh (0.500, 0.500, 0.500)
F (0.000, 0.000, 0.500)
F (0.000, 0.500, 0.000)
F (0.500, 0.000, 0.000)

Space group   Pm-3m, No. 221
Density of states at the Fermi level   6.79 states/eV per cell
Energy relative to the elements, uncorrected   -1774 meV/atom

=====

Here is an optimized crystal structure of AuCl2 from Alexandria via LeMat-Bulk. Energies are from GGA-PBEsol.

a = 6.728 Å, b = 6.889 Å, c = 7.014 Å
α = 69.73°, β = 86.17°, γ = 87.10°
Positions (direct):
Au (0.022, 0.224, 0.464)
Au (0.254, 0.873, 0.926)
Au (0.746, 0.127, 0.074)
Au (0.978, 0.776, 0.536)
Cl (0.195, 0.581, 0.204)
Cl (0.244, 0.066, 0.133)
Cl (0.263, 0.676, 0.713)
Cl (0.308, 0.172, 0.635)
Cl (0.692, 0.828, 0.365)
Cl (0.737, 0.324, 0.287)
Cl (0.756, 0.934, 0.867)
Cl (0.805, 0.419, 0.796)

Space group   P-1, No. 2
Energy relative to the elements, uncorrected   -226 meV/atom

=====

Here is an optimized crystal structure of CsNa2Br from Alexandria via LeMat-Bulk. Energies are from GGA-PBEsol.

a = 6.202 Å, b = 6.202 Å, c = 6.202 Å
α = 60.00°, β = 60.00°, γ = 60.00°
Positions (direct):
Cs (0.000, 0.000, 0.000)
Na (0.250, 0.250, 0.250)
Na (0.750, 0.750, 0.750)
Br (0.500, 0.500, 0.500)

Space group   Fm-3m, No. 225
Density of states at the Fermi level   3.68 states/eV per cell
Energy relative to the elements, uncorrected   -347 meV/atom

=====

Here is an optimized crystal structure of ZnTcCl2 from Alexandria via LeMat-Bulk. Energies are from GGA-PBEsol.

a = 6.851 Å, b = 6.851 Å, c = 6.851 Å
α = 155.21°, β = 142.50°, γ = 45.47°
Positions (direct):
Zn (0.000, 0.000, 0.000)
Tc (0.500, 0.500, 0.000)
Cl (0.351, 0.851, 0.500)
Cl (0.649, 0.149, 0.500)

Space group   Immm, No. 71
Density of states at the Fermi level   2.65 states/eV per cell
Energy relative to the elements, uncorrected   -141 meV/atom
Energy relative to the lowest polymorph listed for this composition   0.000 eV per formula unit

=====

Here is an optimized crystal structure of NiIr from Alexandria via LeMat-Bulk. Energies are from GGA-PBEsol.

a = 3.401 Å, b = 3.401 Å, c = 3.401 Å
α = 60.00°, β = 60.00°, γ = 60.00°
Positions (direct):
Ni (0.000, 0.000, 0.000)
Ir (0.500, 0.500, 0.500)

DFT formation energy   1.00 eV/atom
Space group   Fm-3m, No. 225
Density of states at the Fermi level   4.22 states/eV per cell

=====

Here is an optimized crystal structure of K2NaAg from Alexandria via LeMat-Bulk. Energies are from GGA-PBEsol.

a = 8.696 Å, b = 8.696 Å, c = 8.696 Å
α = 96.62°, β = 96.62°, γ = 140.30°
Positions (direct):
K (0.375, 0.243, 0.368)
K (0.757, 0.125, 0.132)
K (0.875, 0.007, 0.632)
K (0.993, 0.625, 0.868)
Na (0.250, 0.750, 0.500)
Na (0.500, 0.500, 0.000)
Ag (0.000, 0.000, 0.000)
Ag (0.750, 0.250, 0.500)

DFT formation energy   0.18 eV/atom
Space group   I-42d, No. 122
Density of states at the Fermi level   3.91 states/eV per cell

=====

Here is an optimized crystal structure of SrCd2 from Alexandria via LeMat-Bulk. Energies are from GGA-PBEsol.

a = 7.386 Å, b = 7.386 Å, c = 7.386 Å
α = 146.41°, β = 128.40°, γ = 62.99°
Positions (direct):
Sr (0.179, 0.179, 0.000)
Sr (0.821, 0.821, 0.000)
Cd (0.247, 0.500, 0.747)
Cd (0.385, 0.885, 0.500)
Cd (0.615, 0.115, 0.500)
Cd (0.753, 0.500, 0.253)

DFT formation energy   -0.25 eV/atom
Space group   Immm, No. 71
Density of states at the Fermi level   4.03 states/eV per cell

=====

Here is an optimized crystal structure of Sr2YIn from Alexandria via LeMat-Bulk. Energies are from GGA-PBEsol.

a = 5.719 Å, b = 5.719 Å, c = 5.719 Å
α = 60.00°, β = 60.00°, γ = 60.00°
Positions (direct):
Sr (0.000, 0.000, 0.000)
Sr (0.250, 0.250, 0.250)
Y (0.750, 0.750, 0.750)
In (0.500, 0.500, 0.500)

DFT formation energy   -0.07 eV/atom
Space group   F-43m, No. 216
Density of states at the Fermi level   3.57 states/eV per cell

=====

Here is an optimized crystal structure of Li2O from Alexandria via LeMat-Bulk. Energies are from GGA-PBEsol.

a = 3.237 Å, b = 3.237 Å, c = 3.237 Å
α = 60.00°, β = 60.00°, γ = 60.00°
Positions (direct):
Li (0.250, 0.250, 0.250)
Li (0.750, 0.750, 0.750)
O (0.000, 0.000, 0.000)

Space group   Fm-3m, No. 225
Density of states at the Fermi level   0.00 states/eV per cell
Energy relative to the elements, uncorrected   -1854 meV/atom
Energy relative to the lowest polymorph listed for this composition   0.000 eV per formula unit

=====

Here is an optimized crystal structure of CrNi3 from Alexandria via LeMat-Bulk. Energies are from GGA-PBEsol.

a = 3.491 Å, b = 3.491 Å, c = 3.491 Å
α = 90.00°, β = 90.00°, γ = 90.00°
Positions (direct):
Cr (0.000, 0.000, 0.000)
Ni (0.000, 0.500, 0.500)
Ni (0.500, 0.000, 0.500)
Ni (0.500, 0.500, 0.000)

DFT formation energy   0.00 eV/atom
Space group   Pm-3m, No. 221
Density of states at the Fermi level   4.73 states/eV per cell

=====

Here is an optimized crystal structure of HgSb2Br from Alexandria via LeMat-Bulk. Energies are from GGA-PBEsol.

a = 8.135 Å, b = 8.135 Å, c = 8.135 Å
α = 29.49°, β = 29.49°, γ = 29.49°
Positions (direct):
Hg (0.000, 0.000, 0.000)
Sb (0.488, 0.488, 0.488)
Sb (0.751, 0.751, 0.751)
Br (0.257, 0.257, 0.257)

Space group   R3m, No. 160
Density of states at the Fermi level   1.87 states/eV per cell
Energy relative to the elements, uncorrected   -122 meV/atom

=====

Here is an optimized crystal structure of Be2TlAg from Alexandria via LeMat-Bulk. Energies are from GGA-PBEsol.

a = 4.120 Å, b = 4.120 Å, c = 4.590 Å
α = 98.26°, β = 98.26°, γ = 60.10°
Positions (direct):
Be (0.175, 0.175, 0.036)
Be (0.825, 0.825, 0.964)
Tl (0.000, 0.000, 0.500)
Ag (0.500, 0.500, 0.000)

DFT formation energy   0.37 eV/atom
Space group   C2/m, No. 12
Density of states at the Fermi level   1.06 states/eV per cell

=====

Here is an optimized crystal structure of CaV2O4 from Alexandria via LeMat-Bulk. Energies are from GGA-PBEsol.

a = 6.288 Å, b = 6.288 Å, c = 6.288 Å
α = 56.81°, β = 56.81°, γ = 56.81°
Positions (direct):
Ca (0.000, 0.000, 0.000)
Ca (0.370, 0.370, 0.370)
V (0.500, 0.995, 0.995)
V (0.620, 0.620, 0.620)
V (0.995, 0.500, 0.995)
V (0.995, 0.995, 0.500)
O (0.229, 0.229, 0.229)
O (0.236, 0.740, 0.740)
O (0.252, 0.252, 0.797)
O (0.252, 0.797, 0.252)
O (0.740, 0.236, 0.740)
O (0.740, 0.740, 0.236)
O (0.748, 0.748, 0.748)
O (0.797, 0.252, 0.252)

Space group   R3m, No. 160
Density of states at the Fermi level   9.87 states/eV per cell
Energy relative to the elements, uncorrected   -2378 meV/atom
Energy relative to the lowest polymorph listed for this composition   1.515 eV per formula unit

=====

Here is an optimized crystal structure of Rb3AgBr from Alexandria via LeMat-Bulk. Energies are from GGA-PBEsol.

a = 6.536 Å, b = 6.536 Å, c = 6.536 Å
α = 90.00°, β = 90.00°, γ = 90.00°
Positions (direct):
Rb (0.000, 0.000, 0.500)
Rb (0.000, 0.500, 0.000)
Rb (0.500, 0.000, 0.000)
Ag (0.000, 0.000, 0.000)
Br (0.500, 0.500, 0.500)

Space group   Pm-3m, No. 221
Density of states at the Fermi level   4.51 states/eV per cell
Energy relative to the elements, uncorrected   -302 meV/atom

=====

Here is an optimized crystal structure of TcOs2Br from Alexandria via LeMat-Bulk. Energies are from GGA-PBEsol.

a = 5.243 Å, b = 5.243 Å, c = 5.243 Å
α = 148.09°, β = 129.20°, γ = 61.25°
Positions (direct):
Tc (0.000, 0.000, 0.000)
Os (0.466, 0.466, 0.000)
Os (0.730, 0.230, 0.500)
Br (0.228, 0.728, 0.500)

Space group   Imm2, No. 44
Density of states at the Fermi level   3.80 states/eV per cell
Energy relative to the elements, uncorrected   1076 meV/atom
Energy relative to the lowest polymorph listed for this composition   1.831 eV per formula unit

=====

Asked for density across the records above, the calculation gives 13.8 8.3 8.7 10.1 11.3 10.8 5.6 4.2 3.2 5.2 5.9 2.5 4.8 15.0 1.8 6.0 4.8 2.1 8.9 7.5 8.2 4.2 2.6 15.8 g cm⁻³ in order.